First-principles (PBE-GGA) data for an optimized crystal structure of SrMg2C, as listed in Alexandria.

CIF file:
```
data_SrMg2C
_symmetry_space_group_name_H-M 'I 41/a m d'
_symmetry_Int_Tables_number 141
_cell_length_a 6.826
_cell_length_b 6.826
_cell_length_c 9.636
_cell_angle_alpha 90.00
_cell_angle_beta 90.00
_cell_angle_gamma 90.00
loop_
_symmetry_equiv_pos_as_xyz
'x,y,z'
'-x,-y,-z'
'-y+1/4,x+3/4,z+1/4'
'y+1/4,-x+3/4,-z+1/4'
'-x+1/2,-y,z+1/2'
'x+1/2,y,-z+1/2'
'y+1/4,-x+1/4,z+3/4'
'-y+1/4,x+1/4,-z+3/4'
'x,-y,-z'
'-x,y,z'
'-y+1/4,-x+1/4,-z+3/4'
'y+1/4,x+1/4,z+3/4'
'-x+1/2,y,-z+1/2'
'x+1/2,-y,z+1/2'
'y+1/4,x+3/4,-z+1/4'
'-y+1/4,-x+3/4,z+1/4'
'x+1/2,y+1/2,z+1/2'
'-x+1/2,-y+1/2,-z+1/2'
'-y+3/4,x+1/4,z+3/4'
'y+3/4,-x+1/4,-z+3/4'
'-x,-y+1/2,z'
'x,y+1/2,-z'
'y+3/4,-x+3/4,z+1/4'
'-y+3/4,x+3/4,-z+1/4'
'x+1/2,-y+1/2,-z+1/2'
'-x+1/2,y+1/2,z+1/2'
'-y+3/4,-x+3/4,-z+1/4'
'y+3/4,x+3/4,z+1/4'
'-x,y+1/2,-z'
'x,-y+1/2,z'
'y+3/4,x+1/4,-z+3/4'
'-y+3/4,-x+1/4,z+3/4'
loop_
_atom_site_label
_atom_site_fract_x
_atom_site_fract_y
_atom_site_fract_z
Sr1 0.000 0.250 0.375
Mg1 0.000 0.000 0.000
C1 0.000 0.250 0.875
```

VASP energy, eV per formula unit: -12.2

***

First-principles (PBE-GGA) data for an optimized crystal structure of Sr2MgC, as listed in Alexandria.

CIF file:
```
data_Sr2MgC
_symmetry_space_group_name_H-M 'F m -3 m'
_symmetry_Int_Tables_number 225
_symmetry_space_group_name_Hall '-F 4 2 3'
_cell_length_a 7.458
_cell_length_b 7.458
_cell_length_c 7.458
_cell_angle_alpha 90.00
_cell_angle_beta 90.00
_cell_angle_gamma 90.00
loop_
_atom_site_label
_atom_site_fract_x
_atom_site_fract_y
_atom_site_fract_z
Sr1 0.250 0.250 0.250
Mg1 0.000 0.000 0.000
C1 0.000 0.000 0.500
```

VASP energy, eV per formula unit: -10.7
E above lowest polymorph, meV per atom: 192.3

***

First-principles (PBE-GGA) data for an optimized crystal structure of Sr3MgC, as listed in Alexandria.

CIF file:
```
data_Sr3MgC
_symmetry_space_group_name_H-M 'P m -3 m'
_symmetry_Int_Tables_number 221
_symmetry_space_group_name_Hall '-P 4 2 3'
_cell_length_a 5.537
_cell_length_b 5.537
_cell_length_c 5.537
_cell_angle_alpha 90.00
_cell_angle_beta 90.00
_cell_angle_gamma 90.00
loop_
_atom_site_label
_atom_site_fract_x
_atom_site_fract_y
_atom_site_fract_z
Sr1 0.000 0.000 0.500
Mg1 0.500 0.500 0.500
C1 0.000 0.000 0.000
```

VASP energy, eV per formula unit: -14.2
E above lowest polymorph, meV per atom: 0.0

***

Q: What is the VASP energy in the second record?
A: -10.7 eV per formula unit

***

Q: The lowest VASP energy belongs to which entry?
A: Sr3MgC

***

Q: Look up the VASP energy of the first one.
A: -12.2 eV per formula unit

***

Q: Number 3 is which compound?
A: Sr3MgC